Compound: BeAsPdRu2
Source: the Alexandria database
Functional: PBE
Structure: optimized geometry

```
data_BeAsPdRu2
_space_group_name_H-M_alt 'P 4/m m m'
_space_group_IT_number 123
_space_group_name_Hall '-P 4 2'
_cell_length_a 4.5311
_cell_length_b 4.5311
_cell_length_c 4.0731
_cell_angle_alpha 90.00
_cell_angle_beta 90.00
_cell_angle_gamma 90.00
loop_
_atom_site_label
_atom_site_type_symbol
_atom_site_fract_x
_atom_site_fract_y
_atom_site_fract_z
_atom_site_occupancy
Be1 Be 0.0000 0.0000 0.0000 1
As1 As 0.0000 0.0000 0.5000 1
Pd1 Pd 0.5000 0.5000 0.0000 1
Ru1 Ru 0.0000 0.5000 0.5000 1
```

Total DFT energy (no corrections)   -27.7 eV/cell
Size of the total moment   0.37 μB/f.u.

=====

Compound: BeTc2AsPd
Source: the Alexandria database
Functional: PBE
Structure: optimized geometry

```
data_BeTc2AsPd
_space_group_name_H-M_alt 'P 4/m m m'
_space_group_IT_number 123
_space_group_name_Hall '-P 4 2'
_cell_length_a 4.5752
_cell_length_b 4.5752
_cell_length_c 4.5412
_cell_angle_alpha 90.00
_cell_angle_beta 90.00
_cell_angle_gamma 90.00
loop_
_atom_site_label
_atom_site_type_symbol
_atom_site_fract_x
_atom_site_fract_y
_atom_site_fract_z
_atom_site_occupancy
Be1 Be 0.0000 0.0000 0.0000 1
Tc1 Tc 0.0000 0.5000 0.5000 1
As1 As 0.5000 0.5000 0.5000 1
Pd1 Pd 0.5000 0.5000 0.0000 1
```

Total DFT energy (no corrections)   -28.7 eV/cell
Size of the total moment   2.93 μB/f.u.

=====

Compound: PmBe3As3
Source: the Alexandria database
Functional: PBE
Structure: optimized geometry

```
data_PmBe3As3
_space_group_name_H-M_alt 'P 63/m'
_space_group_IT_number 176
_space_group_name_Hall '-P 6c'
_cell_length_a 9.0651
_cell_length_b 9.0651
_cell_length_c 3.8651
_cell_angle_alpha 90.00
_cell_angle_beta 90.00
_cell_angle_gamma 120.00
loop_
_atom_site_label
_atom_site_type_symbol
_atom_site_fract_x
_atom_site_fract_y
_atom_site_fract_z
_atom_site_occupancy
Pm1 Pm 0.3333 0.6667 0.2500 1
Be1 Be 0.0529 0.4099 0.7500 1
As1 As 0.0938 0.6975 0.7500 1
```

Total DFT energy (no corrections)   -66.5 eV/cell
Size of the total moment   0.00 μB/f.u.

=====

Compound: Pm2BeAsPt6
Source: the Alexandria database
Functional: PBE
Structure: optimized geometry

```
data_Pm2BeAsPt6
_space_group_name_H-M_alt 'F m -3 m'
_space_group_IT_number 225
_space_group_name_Hall '-F 4 2 3'
_cell_length_a 9.1631
_cell_length_b 9.1631
_cell_length_c 9.1631
_cell_angle_alpha 90.00
_cell_angle_beta 90.00
_cell_angle_gamma 90.00
loop_
_atom_site_label
_atom_site_type_symbol
_atom_site_fract_x
_atom_site_fract_y
_atom_site_fract_z
_atom_site_occupancy
Pm1 Pm 0.2500 0.2500 0.2500 1
Be1 Be 0.0000 0.0000 0.0000 1
As1 As 0.0000 0.0000 0.5000 1
Pt1 Pt 0.0000 0.0000 0.2368 1
```

Total DFT energy (no corrections)   -240.7 eV/cell
Size of the total moment   0.00 μB/f.u.

=====

Compound: Pm2BeAs4Rh3
Source: the Alexandria database
Functional: PBE
Structure: optimized geometry

```
data_Pm2BeAs4Rh3
_space_group_name_H-M_alt 'P -4 m 2'
_space_group_IT_number 115
_cell_length_a 4.2288
_cell_length_b 4.2288
_cell_length_c 10.1617
_cell_angle_alpha 90.00
_cell_angle_beta 90.00
_cell_angle_gamma 90.00
loop_
_space_group_symop_operation_xyz
'x,y,z'
'y,-x,-z'
'-x,-y,z'
'-y,x,-z'
'-x,y,z'
'-y,-x,-z'
'x,-y,z'
'y,x,-z'
loop_
_atom_site_label
_atom_site_type_symbol
_atom_site_fract_x
_atom_site_fract_y
_atom_site_fract_z
_atom_site_occupancy
Pm1 Pm 0.0000 0.5000 0.2484 1
Be1 Be 0.0000 0.0000 0.5000 1
As1 As 0.0000 0.0000 0.0000 1
As2 As 0.0000 0.5000 0.6331 1
As3 As 0.5000 0.5000 0.0000 1
Rh1 Rh 0.0000 0.5000 0.8743 1
Rh2 Rh 0.5000 0.5000 0.5000 1
```

Total DFT energy (no corrections)   -61.8 eV/cell
Size of the total moment   0.00 μB/f.u.

=====

Compound: PrBeAs2
Source: the Alexandria database
Functional: PBE
Structure: optimized geometry

```
data_PrBeAs2
_space_group_name_H-M_alt 'P 4/n m m'
_space_group_IT_number 129
_cell_length_a 3.9696
_cell_length_b 3.9696
_cell_length_c 10.0814
_cell_angle_alpha 90.00
_cell_angle_beta 90.00
_cell_angle_gamma 90.00
loop_
_space_group_symop_operation_xyz
'x,y,z'
'-x,-y,-z'
'-y+1/2,x,z'
'y+1/2,-x,-z'
'-x+1/2,-y+1/2,z'
'x+1/2,y+1/2,-z'
'y,-x+1/2,z'
'-y,x+1/2,-z'
'x+1/2,-y,-z'
'-x+1/2,y,z'
'-y,-x,-z'
'y,x,z'
'-x,y+1/2,-z'
'x,-y+1/2,z'
'y+1/2,x+1/2,-z'
'-y+1/2,-x+1/2,z'
loop_
_atom_site_label
_atom_site_type_symbol
_atom_site_fract_x
_atom_site_fract_y
_atom_site_fract_z
_atom_site_occupancy
Pr1 Pr 0.2500 0.2500 0.2330 1
Be1 Be 0.2500 0.7500 0.5000 1
As1 As 0.2500 0.2500 0.6271 1
As2 As 0.2500 0.7500 0.0000 1
```

Total DFT energy (no corrections)   -41.3 eV/cell
Size of the total moment   0.00 μB/f.u.
Polymorph energy (0 for the lowest one)   0.0 meV/atom

=====

> The highest size of the total moment belongs to which entry?

BeTc2AsPd

=====

> Among the records above, which one has the highest total DFT energy (no corrections)?

BeAsPdRu2

=====

> Which of these has the highest size of the total moment?

BeTc2AsPd